1.
## RbTiNb2 (PBE-GGA)

Data for a relaxed structure of RbTiNb2.

a = 5.074 Å, b = 5.074 Å, c = 19.420 Å
α = 90.00°, β = 90.00°, γ = 90.00°
Space group I4_1/amd (No. 141, origin choice 2)
One atom of each set of equivalent atoms:
Rb  0.000  0.250  0.375
Ti  0.000  0.250  0.875
Nb  0.000  0.000  0.000

Output
E_tot ... -5.5251 eV/atom
N(E_F) ... 5.204 states/eV/f.u.
Distance to the lowest polymorph of the same formula ... 119 meV per atom
V ... 31.24 A^3/atom
Formation energy ... 1725.4 meV per atom


2.
## Rb3TiNb (PBE-GGA)

Data for a relaxed structure of Rb3TiNb.

a = 6.815 Å, b = 6.815 Å, c = 6.815 Å
α = 90.00°, β = 90.00°, γ = 90.00°
Space group Pm-3m (No. 221)
One atom of each set of equivalent atoms:
Rb  0.000  0.000  0.500
Ti  0.000  0.000  0.000
Nb  0.500  0.500  0.500

Output
E_tot ... -2.2544 eV/atom
N(E_F) ... 7.545 states/eV/f.u.
Distance to the lowest polymorph of the same formula ... 0 meV per atom
V ... 63.30 A^3/atom
Formation energy ... 1919.0 meV per atom


3.
## RbTi2Nb (PBE-GGA)

Data for a relaxed structure of RbTi2Nb.

a = 7.329 Å, b = 7.329 Å, c = 11.666 Å
α = 90.00°, β = 90.00°, γ = 90.00°
Space group I4_1/amd (No. 141, origin choice 2)
One atom of each set of equivalent atoms:
Rb  0.000  0.250  0.375
Ti  0.000  0.000  0.000
Nb  0.000  0.250  0.875

Output
E_tot ... -5.2202 eV/atom
N(E_F) ... 0.379 states/eV/f.u.
Distance to the lowest polymorph of the same formula ... 171 meV per atom
V ... 39.17 A^3/atom
Formation energy ... 1486.6 meV per atom


4.
## Rb2TiNb (PBE-GGA)

Data for a relaxed structure of Rb2TiNb.

a = 8.514 Å, b = 8.514 Å, c = 8.514 Å
α = 90.00°, β = 90.00°, γ = 90.00°
Space group Fm-3m (No. 225)
One atom of each set of equivalent atoms:
Rb  0.250  0.250  0.250
Ti  0.000  0.000  0.000
Nb  0.000  0.000  0.500

Output
E_tot ... -3.0192 eV/atom
N(E_F) ... 5.507 states/eV/f.u.
Distance to the lowest polymorph of the same formula ... 494 meV per atom
V ... 38.58 A^3/atom
Formation energy ... 1955.7 meV per atom


5.
## RbTi2Nb (PBE-GGA)

Data for a relaxed structure of RbTi2Nb.

a = 6.986 Å, b = 6.986 Å, c = 6.986 Å
α = 90.00°, β = 90.00°, γ = 90.00°
Space group Fm-3m (No. 225)
One atom of each set of equivalent atoms:
Rb  0.000  0.000  0.000
Ti  0.250  0.250  0.250
Nb  0.000  0.000  0.500

Output
E_tot ... -5.3914 eV/atom
N(E_F) ... 3.519 states/eV/f.u.
Distance to the lowest polymorph of the same formula ... 0 meV per atom
V ... 21.31 A^3/atom
Formation energy ... 1315.4 meV per atom


6.
## RbTiNb2 (PBE-GGA)

Data for a relaxed structure of RbTiNb2.

a = 6.975 Å, b = 6.975 Å, c = 6.975 Å
α = 90.00°, β = 90.00°, γ = 90.00°
Space group Fm-3m (No. 225)
One atom of each set of equivalent atoms:
Rb  0.000  0.000  0.000
Ti  0.000  0.000  0.500
Nb  0.250  0.250  0.250

Output
E_tot ... -5.6437 eV/atom
N(E_F) ... 8.152 states/eV/f.u.
Distance to the lowest polymorph of the same formula ... 0 meV per atom
V ... 21.21 A^3/atom
Formation energy ... 1606.8 meV per atom


7.
## Rb2ZrTiNb (PBE-GGA)

Data for a relaxed structure of Rb2ZrTiNb.

a = 6.412 Å, b = 6.412 Å, c = 4.728 Å
α = 90.00°, β = 90.00°, γ = 90.00°
Space group P4/mmm (No. 123)
One atom of each set of equivalent atoms:
Rb  0.000  0.500  0.000
Zr  0.000  0.000  0.000
Ti  0.000  0.000  0.500
Nb  0.500  0.500  0.500

Output
E_tot ... -3.4034 eV/atom
N(E_F) ... 9.576 states/eV/f.u.
V ... 38.88 A^3/atom
Formation energy ... 2286.2 meV per atom


8.
## RbNbTl2 (PBE-GGA)

Data for a relaxed structure of RbNbTl2.

a = 6.443 Å, b = 6.443 Å, c = 17.461 Å
α = 90.00°, β = 90.00°, γ = 90.00°
Space group I-42d (No. 122)
One atom of each set of equivalent atoms:
Rb  0.000  0.000  0.000
Nb  0.000  0.000  0.500
Tl  0.084  0.250  0.625

Output
E_tot ... -3.1188 eV/atom
N(E_F) ... 3.084 states/eV/f.u.
Distance to the lowest polymorph of the same formula ... 19 meV per atom
V ... 45.31 A^3/atom
Formation energy ... 823.7 meV per atom


Question: The highest E_tot belongs to which entry?
Answer: Rb3TiNb


Question: What is the E_tot in the sixth record?
Answer: -5.6437 eV/atom


Question: Which formula does entry 6 have?
Answer: RbTiNb2


Question: E_tot of number 8 (RbNbTl2)?
Answer: -3.1188 eV/atom